Computed, not measured: a relaxed structure of POsRuS at the PBE level of DFT.

## Properties
E above lowest polymorph = 61 meV per atom
formation energy (no corrections) = -0.097 eV/atom

POSCAR file:
```
POsRuS
1.0
-4.6077 0.3163 -4.0280
1.9282 -0.2252 -2.2233
2.7661 -6.8537 3.0931
S Os Ru P
2 2 2 2
direct
0.9425 0.0000 0.4337
0.9425 0.5000 0.9337
0.5795 0.5000 0.3523
0.5795 0.0000 0.8523
0.1004 0.0000 0.2105
0.1004 0.5000 0.7105
0.4835 0.5000 0.0267
0.4835 0.0000 0.5267
```

---

Computed, not measured: a relaxed structure of POsRuS at the PBE level of DFT.

## Properties
E above lowest polymorph = 57 meV per atom
formation energy (no corrections) = -0.101 eV/atom

POSCAR file:
```
POsRuS
1.0
-2.9729 -0.1145 0.0920
0.1018 -2.9489 -0.3818
0.4558 -1.6288 12.7018
S P Os Ru
2 2 2 2
direct
0.0000 0.0000 0.1027
0.5000 0.5000 0.6027
0.5000 0.0000 0.8517
0.0000 0.5000 0.3517
0.0000 0.5000 0.7445
0.5000 0.0000 0.2445
0.5000 0.0000 0.4578
0.0000 0.5000 0.9578
```

---

Computed, not measured: a relaxed structure of POsRuS at the PBE level of DFT.

## Properties
E above lowest polymorph = 33 meV per atom
formation energy (no corrections) = -0.126 eV/atom

POSCAR file:
```
POsRuS
1.0
3.5200 0.0000 0.0000
0.0000 2.9657 0.0000
0.0000 0.0000 6.1170
Os S Ru P
1 1 1 1
direct
0.5000 0.5000 0.7599
0.5000 0.5000 0.3890
0.0000 0.5000 0.1662
0.0000 0.0000 0.8718
```

---

Computed, not measured: a relaxed structure of POsRuS at the PBE level of DFT.

## Properties
E above lowest polymorph = 105 meV per atom
formation energy (no corrections) = -0.054 eV/atom

POSCAR file:
```
POsRuS
1.0
5.7936 0.0000 0.0043
0.0000 3.4662 0.0000
-0.7857 0.0000 6.2433
Ru P Os S
2 2 2 2
direct
0.8780 0.5000 0.7378
0.8780 0.0000 0.2378
0.0557 0.0000 0.5912
0.0557 0.5000 0.0912
0.3526 0.5000 0.8198
0.3526 0.0000 0.3198
0.5268 0.5000 0.5102
0.5268 0.0000 0.0102
```

---

Computed, not measured: a relaxed structure of POsRuS at the PBE level of DFT.

## Properties
E above lowest polymorph = 2 meV per atom
formation energy (no corrections) = -0.157 eV/atom

POSCAR file:
```
POsRuS
1.0
5.2965 0.0000 0.3735
0.0000 2.9705 0.0000
-0.6002 0.0000 7.5546
Os P S Ru
2 2 2 2
direct
0.7020 0.5000 0.3565
0.7020 0.0000 0.8565
0.8936 0.0000 0.5821
0.8936 0.5000 0.0821
0.3934 0.0000 0.2563
0.3934 0.5000 0.7563
0.1979 0.0000 0.9781
0.1979 0.5000 0.4781
```

---

Computed, not measured: a relaxed structure of P2OsRuS at the PBE level of DFT.

## Properties
E above lowest polymorph = 0 meV per atom
formation energy (no corrections) = 1.179 eV/atom

POSCAR file:
```
P2OsRuS
1.0
-2.1598 2.9932 2.5071
1.9175 -1.6827 3.6608
3.6282 3.0395 -0.5032
P Os S Ru
2 1 1 1
direct
0.0000 0.5000 0.0000
0.5000 0.0000 0.0000
0.0000 0.0000 0.0000
0.0000 0.0000 0.5000
0.5000 0.5000 0.5000
```

---

Computed, not measured: a relaxed structure of POsRuS at the PBE level of DFT.

## Properties
E above lowest polymorph = 0 meV per atom
formation energy (no corrections) = -0.158 eV/atom

POSCAR file:
```
POsRuS
1.0
3.7042 0.0000 -0.0151
0.0000 4.3925 0.0000
-1.8502 0.0000 3.9429
S Os P Ru
1 1 1 1
direct
0.1959 0.0000 0.1474
0.3151 0.5000 0.3844
0.9889 0.5000 0.7299
0.8590 0.0000 0.4709
```

---

Computed, not measured: a relaxed structure of POsRuS at the PBE level of DFT.

## Properties
E above lowest polymorph = 87 meV per atom
formation energy (no corrections) = -0.071 eV/atom

POSCAR file:
```
POsRuS
1.0
3.5958 0.0000 0.0000
0.0000 2.9656 0.0000
0.0000 0.0000 11.5369
P S Os Ru
2 2 2 2
direct
0.5000 0.0000 0.6230
0.5000 0.5000 0.1230
0.0000 0.0000 0.3934
0.0000 0.5000 0.8934
0.0000 0.5000 0.5596
0.0000 0.0000 0.0596
0.5000 0.0000 0.2720
0.5000 0.5000 0.7720
```

---

Computed, not measured: a relaxed structure of POsRuS at the PBE level of DFT.

## Properties
E above lowest polymorph = 37 meV per atom
formation energy (no corrections) = -0.121 eV/atom

POSCAR file:
```
POsRuS
1.0
-0.9609 4.6298 -2.4513
-0.4452 -1.4465 -2.5576
-7.3046 -0.7370 1.6883
Ru P Os S
2 2 2 2
direct
0.9110 0.0000 0.6466
0.9110 0.5000 0.1466
0.1090 0.5000 0.8746
0.1090 0.0000 0.3746
0.4092 0.5000 0.2662
0.4092 0.0000 0.7662
0.6010 0.0000 0.0452
0.6010 0.5000 0.5452
```

---

Computed, not measured: a relaxed structure of POsRuS at the PBE level of DFT.

## Properties
E above lowest polymorph = 57 meV per atom
formation energy (no corrections) = -0.101 eV/atom

POSCAR file:
```
POsRuS
1.0
3.6385 0.0000 0.0000
-1.8192 3.1510 0.0000
0.0000 0.0000 17.0924
S Os Ru P
3 3 3 3
direct
0.3333 0.6667 0.3498
0.0000 0.0000 0.6831
0.6667 0.3333 0.0165
0.6667 0.3333 0.8810
0.0000 0.0000 0.5477
0.3333 0.6667 0.2144
0.6667 0.3333 0.4254
0.3333 0.6667 0.7587
0.0000 0.0000 0.0921
0.3333 0.6667 0.5060
0.0000 0.0000 0.8393
0.6667 0.3333 0.1726
```

---

Computed, not measured: a relaxed structure of Sn2POsRu at the PBE level of DFT.

## Properties
formation energy = 1.179 eV per atom

POSCAR file:
```
Sn2POsRu
1.0
-3.8843 -0.4949 3.1229
2.9968 -1.6918 3.4593
0.7319 4.6717 1.6507
Os Sn P Ru
1 2 1 1
direct
0.0000 0.5000 0.0000
0.5000 0.0000 0.0000
0.0000 0.0000 0.5000
0.5000 0.5000 0.5000
0.0000 0.0000 0.0000
```

---

Computed, not measured: a relaxed structure of SrP2OsRu at the PBE level of DFT.

## Properties
formation energy = 2.869 eV per atom
E above lowest polymorph = 3663 meV per atom

POSCAR file:
```
SrP2OsRu
1.0
-1.0649 1.2770 4.7637
3.1087 -3.1234 1.5322
3.6085 3.5238 -0.1380
Sr Ru P Os
1 1 2 1
direct
0.0000 0.0000 0.0000
0.0000 0.5000 0.0000
0.5000 0.0000 0.0000
0.0000 0.0000 0.5000
0.5000 0.5000 0.5000
```

---

Total magnetization readings, ordered: 0.00 0.00 0.00 0.00 0.00 0.50 0.00 0.00 0.00 0.00 0.00 0.01 μB per formula unit